Record 1
! Cs11AgAu5 (PBE-GGA, relaxed); values from VASP
&SYSTEM
  ibrav = 0, nat = 17, ntyp = 3
/
ATOMIC_SPECIES
Cs 132.91 Cs.upf
Ag 107.87 Ag.upf
Au 196.97 Au.upf
ATOMIC_POSITIONS crystal
Cs 0.3851 0.6586 0.6586
Cs 0.6149 0.3414 0.3414
Cs 0.7065 0.1440 0.7057
Cs 0.2935 0.8560 0.2943
Cs 0.2935 0.2943 0.8560
Cs 0.7065 0.7057 0.1440
Cs 0.5000 0.0000 0.0000
Cs 0.9267 0.8292 0.5838
Cs 0.0733 0.1708 0.4162
Cs 0.0733 0.4162 0.1708
Cs 0.9267 0.5838 0.8292
Ag 0.0000 0.0000 0.0000
Au 0.6865 0.0088 0.3596
Au 0.3135 0.9912 0.6404
Au 0.3135 0.6404 0.9912
Au 0.6865 0.3596 0.0088
Au 0.0000 0.5000 0.5000
CELL_PARAMETERS angstrom
9.0350 1.0636 -2.2108
-4.0927 9.7989 -2.0502
0.2200 -0.1003 10.8126
! ΔE_f: -0.153 eV per atom
! space group: C2/m
! magnetic moment: 0.0 μB/f.u.



Record 2
! CdGa2Ni3 (PBE-GGA, relaxed); values from VASP
&SYSTEM
  ibrav = 0, nat = 6, ntyp = 3
/
ATOMIC_SPECIES
Cd 112.41 Cd.upf
Ga 69.72 Ga.upf
Ni 58.69 Ni.upf
ATOMIC_POSITIONS crystal
Cd 0.5000 0.5000 0.5000
Ga 0.5000 0.5000 0.8432
Ga 0.5000 0.5000 0.1568
Ni 0.0000 0.0000 0.0000
Ni 0.0000 0.0000 0.7031
Ni 0.0000 0.0000 0.2969
CELL_PARAMETERS angstrom
2.9499 0.0000 0.0000
0.0000 2.9499 0.0000
0.0000 0.0000 9.2616
! ΔE_f: -0.270 eV per atom
! space group: P4/mmm
! magnetic moment: 0.0 μB/f.u.



Record 3
! ZrHg2As2 (PBE-GGA, relaxed); values from VASP
&SYSTEM
  ibrav = 0, nat = 10, ntyp = 3
/
ATOMIC_SPECIES
As 74.92 As.upf
Hg 200.59 Hg.upf
Zr 91.22 Zr.upf
ATOMIC_POSITIONS crystal
As 0.3668 0.8668 0.0000
As 0.8668 0.6332 0.0000
As 0.6332 0.1332 0.0000
As 0.1332 0.3668 0.0000
Hg 0.1918 0.6918 0.5000
Hg 0.6918 0.8082 0.5000
Hg 0.8082 0.3082 0.5000
Hg 0.3082 0.1918 0.5000
Zr 0.0000 0.0000 0.0000
Zr 0.5000 0.5000 0.0000
CELL_PARAMETERS angstrom
-3.4547 1.8005 5.9065
0.1103 -6.7490 2.1218
3.8809 0.7091 2.0537
! ΔE_f: -0.052 eV per atom
! space group: P4/mbm
! magnetic moment: 0.0 μB/f.u.



Record 4
! UTe3 (PBE-GGA, relaxed); values from VASP
&SYSTEM
  ibrav = 0, nat = 8, ntyp = 2
/
ATOMIC_SPECIES
U 238.03 U.upf
Te 127.60 Te.upf
ATOMIC_POSITIONS crystal
U 0.2500 0.7196 0.6523
U 0.7500 0.2804 0.3477
Te 0.2500 0.5567 0.1790
Te 0.7500 0.4433 0.8210
Te 0.2500 0.0898 0.1746
Te 0.7500 0.9102 0.8254
Te 0.2500 0.2373 0.5641
Te 0.7500 0.7627 0.4359
CELL_PARAMETERS angstrom
-0.8221 3.6486 -1.9060
-5.7202 -0.1842 2.1148
1.7338 5.1852 9.1777
! total energy: -22.797 eV/f.u.
! space group: P2_1/m
! magnetic moment: 2.0 μB/f.u.



Record 5
! Sr3TaPb (PBE-GGA, relaxed); values from VASP
&SYSTEM
  ibrav = 0, nat = 5, ntyp = 3
/
ATOMIC_SPECIES
Pb 207.20 Pb.upf
Sr 87.62 Sr.upf
Ta 180.95 Ta.upf
ATOMIC_POSITIONS crystal
Pb 0.0000 0.0000 0.0000
Sr 0.0000 0.5000 0.0000
Sr 0.0000 0.0000 0.5000
Sr 0.5000 0.0000 0.0000
Ta 0.5000 0.5000 0.5000
CELL_PARAMETERS angstrom
-1.2817 4.7057 -3.9277
-4.6698 1.8494 3.7397
3.9702 3.6945 3.1307
! energy relative to the lowest polymorph listed for this composition: 0.075 eV/atom
! ΔE_f: 0.985 eV per atom
! space group: Pm-3m
! magnetic moment: 4.9 μB/f.u.



Record 6
! KMgFe2 (PBE-GGA, relaxed); values from VASP
&SYSTEM
  ibrav = 0, nat = 4, ntyp = 3
/
ATOMIC_SPECIES
Fe 55.84 Fe.upf
K 39.10 K.upf
Mg 24.30 Mg.upf
ATOMIC_POSITIONS crystal
Fe 0.0000 0.9577 0.0431
Fe 0.5000 0.3465 0.1538
K 0.0000 0.5326 0.4645
Mg 0.5000 0.6632 0.8385
CELL_PARAMETERS angstrom
3.1595 0.0000 0.0000
0.0000 3.1569 0.0286
0.0000 3.0933 8.6682
! energy relative to the lowest polymorph listed for this composition: 0.000 eV/atom
! ΔE_f: 0.484 eV per atom
! space group: Pm
! magnetic moment: 5.3 μB/f.u.



Record 7
! LiNbHg (PBE-GGA, relaxed); values from VASP
&SYSTEM
  ibrav = 0, nat = 3, ntyp = 3
/
ATOMIC_SPECIES
Nb 92.91 Nb.upf
Hg 200.59 Hg.upf
Li 6.94 Li.upf
ATOMIC_POSITIONS crystal
Nb 0.5000 0.5000 0.5000
Hg 0.7500 0.7500 0.7500
Li 0.2500 0.2500 0.2500
CELL_PARAMETERS angstrom
0.0000 3.1969 3.1969
3.1969 0.0000 3.1969
3.1969 3.1969 0.0000
! energy relative to the lowest polymorph listed for this composition: 0.919 eV/atom
! ΔE_f: 0.906 eV per atom
! space group: F-43m
! magnetic moment: 0.0 μB/f.u.



Record 8
! LaPr4SmDy2 (PBE-GGA, relaxed); values from VASP
&SYSTEM
  ibrav = 0, nat = 8, ntyp = 4
/
ATOMIC_SPECIES
La 138.91 La.upf
Pr 140.91 Pr.upf
Sm 150.36 Sm.upf
Dy 162.50 Dy.upf
ATOMIC_POSITIONS crystal
La 0.5000 0.5000 0.0000
Pr 0.0000 0.7550 0.7486
Pr 0.0000 0.2450 0.2514
Pr 0.5000 0.7537 0.2495
Pr 0.5000 0.2463 0.7505
Sm 0.0000 0.5000 0.5000
Dy 0.0000 0.0000 0.0000
Dy 0.5000 0.0000 0.5000
CELL_PARAMETERS angstrom
-2.2372 -2.1634 1.9654
9.6151 -5.1109 5.3188
0.6886 3.8369 5.0074
! ΔE_f: 0.018 eV per atom
! space group: P2/m
! magnetic moment: 0.0 μB/f.u.



Record 9
! SrLi2Ag (PBE-GGA, relaxed); values from VASP
&SYSTEM
  ibrav = 0, nat = 4, ntyp = 3
/
ATOMIC_SPECIES
Sr 87.62 Sr.upf
Ag 107.87 Ag.upf
Li 6.94 Li.upf
ATOMIC_POSITIONS crystal
Sr 0.0000 0.0000 0.5281
Ag 0.5000 0.5000 0.8058
Li 0.0000 0.0000 0.9868
Li 0.5000 0.5000 0.1793
CELL_PARAMETERS angstrom
3.7977 0.0000 0.0000
0.0000 3.8162 0.0000
0.0000 0.0000 7.1130
! ΔE_f: -0.087 eV per atom
! space group: Pmm2
! magnetic moment: 0.0 μB/f.u.



Record 10
! K2CaC (PBE-GGA, relaxed); values from VASP
&SYSTEM
  ibrav = 0, nat = 8, ntyp = 3
/
ATOMIC_SPECIES
C 12.01 C.upf
Ca 40.08 Ca.upf
K 39.10 K.upf
ATOMIC_POSITIONS crystal
C 0.5000 0.5000 0.0000
C 0.2500 0.7500 0.5000
Ca 0.0000 0.0000 0.0000
Ca 0.7500 0.2500 0.5000
K 0.4499 0.1250 0.2500
K 0.3001 0.6250 0.2500
K 0.3750 0.5501 0.7500
K 0.8750 0.6999 0.7500
CELL_PARAMETERS angstrom
-0.1812 3.8575 11.4047
-11.9001 -1.7874 0.4155
-5.6845 -1.1624 6.6590
! ΔE_f: 0.849 eV per atom
! space group: I-42d
! magnetic moment: 0.0 μB/f.u.



Record 11
! La6Ho2Sc (PBE-GGA, relaxed); values from VASP
&SYSTEM
  ibrav = 0, nat = 9, ntyp = 3
/
ATOMIC_SPECIES
La 138.91 La.upf
Ho 164.93 Ho.upf
Sc 44.96 Sc.upf
ATOMIC_POSITIONS crystal
La 0.3356 0.6713 0.9480
La 0.6644 0.3287 0.0520
La 0.0037 0.0073 0.1749
La 0.6680 0.3360 0.3932
La 0.9963 0.9927 0.8251
La 0.3320 0.6640 0.6068
Ho 0.6620 0.3240 0.7161
Ho 0.3380 0.6760 0.2839
Sc 0.0000 0.0000 0.5000
CELL_PARAMETERS angstrom
5.1669 0.0000 0.0000
-2.5835 5.4402 -1.6556
0.0000 -0.0686 10.9279
! ΔE_f: 0.043 eV per atom
! space group: C2/m
! magnetic moment: 0.0 μB/f.u.



Record 12
! KTe4Se (PBE-GGA, relaxed); values from VASP
&SYSTEM
  ibrav = 0, nat = 6, ntyp = 3
/
ATOMIC_SPECIES
K 39.10 K.upf
Te 127.60 Te.upf
Se 78.96 Se.upf
ATOMIC_POSITIONS crystal
K 0.7500 0.7500 0.7500
Te 0.8816 0.3728 0.3728
Te 0.3728 0.3728 0.8816
Te 0.3728 0.8816 0.3728
Te 0.3728 0.3728 0.3728
Se 0.0000 0.0000 0.0000
CELL_PARAMETERS angstrom
0.5052 -4.9730 -4.0483
-3.1766 0.0702 -5.5928
3.2278 0.6648 -5.5240
! total energy: -16.746 eV/f.u.
! space group: F-43m
! magnetic moment: 1.0 μB/f.u.